# 1
Below is a relaxed MnSnI4 crystal, with properties calculated at the GGA-PBE level.

```
MnSnI4
1.0
-3.353 0.726 -2.617
2.533 -7.264 -1.717
-4.871 -1.566 5.806
I Mn Sn
4 1 1
Cartesian
-5.829 -2.572 3.201
-4.219 -5.924 0.190
0.141 -5.534 -1.729
-1.474 -2.179 1.283
-3.352 0.723 -2.617
-1.579 -7.682 -0.123
```

Properties
ΔE_f (raw) in eV/atom: -0.460
Total magnetic moment in μB per formula unit: 5.0
Crystal system: triclinic

# 2
Below is a relaxed Mn2SnI8 crystal, with properties calculated at the GGA-PBE level.

```
Mn2SnI8
1.0
-3.226 -6.494 0.184
2.104 -2.176 8.089
-7.706 2.552 2.950
I Mn Sn
8 2 1
Cartesian
-7.361 0.347 5.064
-7.939 -3.346 2.768
-0.889 -2.772 8.455
-5.324 -1.631 8.662
-1.467 -6.466 6.159
-3.088 -1.267 4.730
-5.740 -4.852 6.493
-3.504 -4.488 2.560
-2.307 -2.149 2.427
-6.521 -3.969 8.796
0.000 0.000 0.000
```

Properties
ΔE_f (raw) in eV/atom: -0.334
Total magnetic moment in μB per formula unit: 8.1
Crystal system: monoclinic

# 3
Below is a relaxed MnSnI2 crystal, with properties calculated at the GGA-PBE level.

```
MnSnI2
1.0
3.382 2.168 3.734
-1.449 4.549 2.699
-1.270 -0.260 5.329
I Sn Mn
2 1 1
Cartesian
0.497 4.843 8.821
0.166 1.614 2.940
0.332 3.229 5.881
0.000 0.000 0.000
```

Properties
ΔE_f (raw) in eV/atom: 0.360
Total magnetic moment in μB per formula unit: 4.3
Crystal system: cubic

# 4
Below is a relaxed Mn2Sn2I crystal, with properties calculated at the GGA-PBE level.

```
Mn2Sn2I
1.0
-5.318 -5.015 -1.922
-0.910 -1.824 7.278
-2.317 2.343 0.298
I Mn Sn
2 4 4
Cartesian
0.000 0.000 0.000
-3.114 -3.420 2.678
-1.111 -1.387 2.269
-5.117 -5.452 3.087
-2.642 -3.313 5.519
-3.586 -3.526 -0.164
-5.359 -3.618 5.147
-2.506 -0.721 4.555
-3.186 -0.879 0.506
-6.039 -3.775 1.098
```

Properties
ΔE_f (raw) in eV/atom: 0.626
Total magnetic moment in μB per formula unit: 0.2
Crystal system: tetragonal

# 5
Below is a relaxed Mn3Sn5I16 crystal, with properties calculated at the GGA-PBE level.

```
Mn3Sn5I16
1.0
8.953 0.167 -0.012
4.515 7.734 -0.012
-0.106 -0.062 14.529
I Sn Mn
16 5 3
Cartesian
6.481 6.383 5.834
9.109 5.343 13.088
6.611 3.878 2.519
6.619 1.183 13.004
4.263 5.200 13.004
9.059 7.716 9.586
13.296 7.800 2.525
11.298 6.628 5.705
11.155 4.142 9.586
4.690 0.180 2.372
6.733 3.950 9.405
13.169 7.725 9.625
4.589 2.692 5.770
8.734 2.542 5.834
2.446 4.006 2.372
2.039 1.196 13.406
4.546 2.667 0.454
8.888 2.657 11.385
6.656 6.461 11.385
8.981 5.269 7.598
2.199 1.290 4.149
11.114 6.520 11.305
6.660 1.380 4.134
4.454 5.140 4.134
```

Properties
ΔE_f (raw) in eV/atom: -0.458
Total magnetic moment in μB per formula unit: 15.0
Crystal system: monoclinic

# 6
Below is a relaxed Mn2SnI crystal, with properties calculated at the GGA-PBE level.

```
Mn2SnI
1.0
3.251 -1.280 -2.899
2.857 -3.344 1.125
-0.277 -4.021 -2.090
Sn I Mn
1 1 2
Cartesian
0.000 0.000 0.000
2.916 -4.323 -1.932
4.373 -6.484 -2.898
1.458 -2.161 -0.966
```

Properties
ΔE_f (raw) in eV/atom: 0.951
Total magnetic moment in μB per formula unit: 0.0
Crystal system: cubic

# 7
Below is a relaxed Mn2SnI6 crystal, with properties calculated at the GGA-PBE level.

```
Mn2SnI6
1.0
4.763 -0.002 0.000
-2.381 7.219 -2.096
0.002 -0.178 10.683
I Sn Mn
6 1 2
Cartesian
2.382 2.076 4.768
2.383 2.179 0.543
2.383 6.280 0.888
0.001 0.759 7.698
0.001 4.860 8.043
0.001 4.963 3.818
2.384 7.039 8.586
0.001 2.953 6.028
2.383 4.086 2.558
```

Properties
ΔE_f (raw) in eV/atom: -0.375
Total magnetic moment in μB per formula unit: 10.0
Crystal system: monoclinic

# 8
Below is a relaxed Mn2SnI6 crystal, with properties calculated at the GGA-PBE level.

```
Mn2SnI6
1.0
-1.957 5.956 4.674
-6.698 4.493 -6.029
-8.071 -4.130 4.383
Mn I Sn
4 12 2
Cartesian
-11.451 5.002 1.199
-6.032 5.689 2.482
-10.694 0.630 0.546
-5.275 1.316 1.829
-9.954 3.165 -0.113
-6.083 -1.183 2.471
-3.356 5.930 2.905
-10.643 7.502 0.558
-6.403 5.930 -0.185
-14.106 4.887 0.625
-10.323 0.389 3.214
-2.620 1.432 2.404
-13.370 0.389 0.123
-5.574 1.559 -0.866
-11.152 4.760 3.894
-6.772 3.154 3.141
-8.319 7.999 -1.363
-8.407 -1.680 4.391
```

Properties
ΔE_f (raw) in eV/atom: -0.431
Total magnetic moment in μB per formula unit: 10.0
Crystal system: monoclinic

# 9
Below is a relaxed MnSnI2 crystal, with properties calculated at the GGA-PBE level.

```
MnSnI2
1.0
-1.125 -1.395 3.503
2.525 -2.070 2.197
3.584 7.273 6.257
I Mn Sn
2 1 1
Cartesian
2.416 -0.718 7.120
2.568 4.526 4.837
2.492 1.904 5.979
0.000 0.000 0.000
```

Properties
ΔE_f (raw) in eV/atom: -0.018
Total magnetic moment in μB per formula unit: 4.5
Crystal system: trigonal

# 10
Below is a relaxed Mn2Sn2I crystal, with properties calculated at the GGA-PBE level.

```
Mn2Sn2I
1.0
4.225 0.000 0.000
0.000 4.225 0.000
2.112 2.112 6.726
Mn I Sn
2 1 2
Cartesian
2.112 2.112 1.384
4.225 4.225 5.342
0.000 0.000 0.000
2.112 4.225 3.363
4.225 2.112 3.363
```

Properties
ΔE_f (raw) in eV/atom: 0.358
Total magnetic moment in μB per formula unit: 7.3
Crystal system: tetragonal

# 11
Below is a relaxed MnSn3I8 crystal, with properties calculated at the GGA-PBE level.

```
MnSn3I8
1.0
9.115 0.000 0.000
-4.558 7.894 0.000
0.000 0.000 14.003
I Sn Mn
16 6 2
Cartesian
2.068 4.069 4.946
6.626 3.825 11.948
2.490 3.825 11.948
0.000 7.651 4.946
0.000 0.000 11.785
6.664 1.415 1.250
0.000 5.263 1.122
2.451 1.415 1.250
4.558 0.243 11.948
-2.106 6.479 8.251
4.558 5.063 1.250
0.000 2.831 8.251
4.558 2.631 8.124
-2.068 4.069 4.946
0.000 0.000 4.784
2.106 6.479 8.251
2.255 6.565 2.966
4.558 5.235 9.968
6.813 1.329 9.968
-2.255 6.565 2.966
0.000 2.659 2.966
2.303 1.329 9.968
0.000 5.263 6.617
4.558 2.631 13.618
```

Properties
ΔE_f (raw) in eV/atom: -0.468
Total magnetic moment in μB per formula unit: 4.9
Crystal system: hexagonal

# 12
Below is a relaxed SrMnSn2I8 crystal, with properties calculated at the GGA-PBE level.

```
SrMnSn2I8
1.0
7.622 0.042 -0.005
0.076 7.175 -0.008
0.006 0.011 9.324
I Sr Sn Mn
8 1 2 1
Cartesian
2.674 1.925 4.658
6.469 1.702 2.054
6.472 1.708 7.258
1.236 5.525 7.257
5.222 5.488 9.314
1.232 5.519 2.053
5.030 5.302 4.653
2.482 1.739 -0.003
0.003 0.005 4.662
3.854 3.616 7.124
3.850 3.611 2.186
0.000 0.000 0.000
```

Properties
ΔE_f (raw) in eV/atom: -0.735
Total magnetic moment in μB per formula unit: 5.0
Crystal system: monoclinic

# 13
Below is a relaxed MnSnTe2I crystal, with properties calculated at the GGA-PBE level.

```
MnSnTe2I
1.0
5.731 0.000 0.000
0.000 5.731 0.000
0.000 0.000 5.907
Mn Te I Sn
1 2 1 1
Cartesian
2.866 2.866 2.954
2.866 0.000 0.000
0.000 2.866 0.000
0.000 0.000 2.954
0.000 0.000 0.000
```

Properties
ΔE_f (raw) in eV/atom: 0.583
Total magnetic moment in μB per formula unit: 5.3
Crystal system: tetragonal

# 14
Below is a relaxed MnSnTe2I crystal, with properties calculated at the GGA-PBE level.

```
MnSnTe2I
1.0
-4.218 -1.526 2.967
1.040 -5.146 -1.168
3.187 -0.344 4.355
Mn Te Sn I
1 2 1 1
Cartesian
0.000 0.000 0.000
-2.109 -0.763 1.483
0.520 -2.573 -0.584
0.005 -3.508 3.077
1.594 -0.172 2.177
```

Properties
ΔE_f (raw) in eV/atom: 0.110
Total magnetic moment in μB per formula unit: 4.4
Crystal system: tetragonal

# 15
Below is a relaxed MnTl2SnI6 crystal, with properties calculated at the GGA-PBE level.

```
MnTl2SnI6
1.0
8.313 0.000 0.001
4.156 7.199 0.000
4.156 2.400 6.971
I Mn Tl Sn
6 1 2 1
Cartesian
6.003 5.279 5.447
9.883 6.560 5.447
9.052 2.559 5.447
6.685 7.811 1.817
11.735 4.703 1.817
6.518 1.883 1.817
4.157 2.400 0.253
4.156 2.400 6.366
8.313 4.799 2.793
12.469 7.199 3.761
```

Properties
ΔE_f (raw) in eV/atom: -0.509
Total magnetic moment in μB per formula unit: 5.0
Crystal system: trigonal

# 16
Below is a relaxed ZrMnSn2I crystal, with properties calculated at the GGA-PBE level.

```
ZrMnSn2I
1.0
-3.360 3.517 -0.883
-3.331 -3.470 -1.141
-1.518 -0.191 5.014
I Zr Sn Mn
1 1 2 1
Cartesian
-4.105 -0.072 1.495
-0.759 -0.096 2.507
-1.680 1.758 -0.442
-1.666 -1.735 -0.571
0.000 0.000 0.000
```

Properties
ΔE_f (raw) in eV/atom: 0.138
Total magnetic moment in μB per formula unit: 0.0
Crystal system: tetragonal

# 17
Below is a relaxed SrMnI3 crystal, with properties calculated at the GGA-PBE level.

```
SrMnI3
1.0
-5.843 1.646 -1.967
-1.858 -6.090 0.423
-1.768 0.960 6.055
Sr I Mn
1 3 1
Cartesian
0.000 0.000 0.000
-0.884 0.480 3.028
-2.921 0.823 -0.983
-0.929 -3.045 0.212
-4.734 -1.742 2.256
```

Properties
ΔE_f (raw) in eV/atom: -0.439
Total magnetic moment in μB per formula unit: 6.0
Crystal system: cubic

# 18
Below is a relaxed Sr3MnI crystal, with properties calculated at the GGA-PBE level.

```
Sr3MnI
1.0
-5.249 -1.951 1.389
1.463 0.035 5.581
-1.895 5.430 0.463
I Sr Mn
1 3 1
Cartesian
-2.841 1.757 3.716
-0.948 2.715 0.232
0.732 0.017 2.791
-2.625 -0.975 0.694
0.000 0.000 0.000
```

Properties
ΔE_f (raw) in eV/atom: 0.287
Total magnetic moment in μB per formula unit: 0.0
Crystal system: cubic

# 19
Below is a relaxed SrMnI4 crystal, with properties calculated at the GGA-PBE level.

```
SrMnI4
1.0
-1.541 1.858 3.725
-4.716 -7.503 -0.852
7.173 -0.615 3.274
Sr Mn I
1 1 4
Cartesian
2.816 0.622 3.499
0.000 0.000 0.000
4.996 -1.103 5.262
1.699 -1.782 1.592
-0.783 -4.476 4.555
-4.079 -5.155 0.885
```

Properties
ΔE_f (raw) in eV/atom: -1.035
Total magnetic moment in μB per formula unit: 5.0
Crystal system: monoclinic

# 20
Below is a relaxed SrMnI3 crystal, with properties calculated at the GGA-PBE level.

```
SrMnI3
1.0
5.661 0.000 0.000
0.000 5.661 0.000
0.000 0.000 5.661
Mn Sr I
1 1 3
Cartesian
0.000 0.000 0.000
2.830 2.830 2.830
0.000 2.830 0.000
0.000 0.000 2.830
2.830 0.000 0.000
```

Properties
ΔE_f (raw) in eV/atom: -0.618
Total magnetic moment in μB per formula unit: 4.5
Crystal system: cubic

# 21
Below is a relaxed Sr2MnI crystal, with properties calculated at the GGA-PBE level.

```
Sr2MnI
1.0
4.279 -3.529 1.953
-0.925 -3.424 4.690
-0.463 -5.825 -0.658
Mn I Sr
1 1 2
Cartesian
0.000 0.000 0.000
1.445 -6.389 2.993
0.723 -3.194 1.496
2.168 -9.583 4.489
```

Properties
ΔE_f (raw) in eV/atom: 0.023
Total magnetic moment in μB per formula unit: 3.5
Crystal system: cubic

# 22
Below is a relaxed SrMnI2 crystal, with properties calculated at the GGA-PBE level.

```
SrMnI2
1.0
-0.750 6.385 1.965
-0.019 -1.979 6.425
6.625 2.949 4.446
I Mn Sr
4 2 2
Cartesian
4.678 3.717 6.958
4.296 6.214 10.197
1.241 4.006 2.996
1.495 0.773 5.518
-0.385 2.203 4.195
3.110 1.586 7.532
0.000 0.000 0.000
2.745 5.769 5.303
```

Properties
ΔE_f (raw) in eV/atom: -0.254
Total magnetic moment in μB per formula unit: 3.1
Crystal system: tetragonal

# 23
Below is a relaxed SrMnI4 crystal, with properties calculated at the GGA-PBE level.

```
SrMnI4
1.0
8.499 -0.446 2.746
-4.622 7.146 2.747
-0.257 -0.445 8.927
Mn I Sr
2 8 2
Cartesian
1.075 5.640 10.815
2.545 0.615 3.605
1.973 4.372 8.623
5.617 1.177 7.956
4.911 1.882 3.492
0.998 0.762 1.414
-1.291 4.372 10.928
2.622 5.493 13.006
-1.997 5.078 6.464
1.647 1.883 5.797
4.484 3.965 6.351
-0.864 2.290 8.068
```

Properties
ΔE_f (raw) in eV/atom: -1.021
Total magnetic moment in μB per formula unit: 5.0
Crystal system: tetragonal

# 24
Below is a relaxed Sr2MnI crystal, with properties calculated at the GGA-PBE level.

```
Sr2MnI
1.0
8.851 0.000 0.000
0.000 8.851 0.000
4.426 4.426 4.128
Sr Mn I
4 2 2
Cartesian
11.064 10.974 3.096
6.639 6.729 3.096
6.548 2.213 1.032
2.304 6.639 1.032
4.426 8.851 2.064
4.426 4.426 0.000
8.851 4.426 2.064
0.000 0.000 0.000
```

Properties
ΔE_f (raw) in eV/atom: 0.034
Total magnetic moment in μB per formula unit: 4.0
Crystal system: tetragonal